1.
HfHPb2 PBE relaxed; polymorph energy (0 for the lowest one) = 34.1 kJ per mole of atoms; magnetization = 0.00 μB/f.u.; N(E_F) = 4.039 states/eV/f.u.
1.0
0.000 3.561 3.561
3.561 0.000 3.561
3.561 3.561 0.000
Pb H Hf
2 1 1
direct
0.250 0.250 0.250
0.750 0.750 0.750
0.000 0.000 0.000
0.500 0.500 0.500



2.
AcBi3O6 PBE relaxed; magnetization = 0.00 μB/f.u.; ΔE_f (raw) = -37.96 kcal/mol of atoms; N(E_F) = 1.755 states/eV/f.u.
1.0
3.745 0.000 0.000
0.000 6.651 -2.721
0.000 0.212 7.183
Ac Bi O
1 3 6
direct
0.000 0.500 0.500
0.500 0.500 0.000
0.000 0.000 0.000
0.500 0.000 0.500
0.000 0.078 0.334
0.000 0.922 0.666
0.000 0.334 0.078
0.000 0.666 0.922
0.500 0.645 0.355
0.500 0.355 0.645



3.
Nd6Ga2NO PBE relaxed; magnetization = 0.00 μB/f.u.; ΔE_f (raw) = -25.48 kcal/mol of atoms; N(E_F) = 2.662 states/eV/f.u.
1.0
-2.053 -1.767 -6.443
-2.515 -6.403 -1.234
-6.794 -0.879 -1.385
Nd Ga N O
6 2 1 1
direct
0.248 0.752 0.752
0.248 0.752 0.248
0.248 0.248 0.752
0.752 0.752 0.248
0.752 0.248 0.248
0.752 0.248 0.752
0.750 0.750 0.750
0.250 0.250 0.250
0.000 0.000 0.000
0.500 0.500 0.500



4.
Pm3Ho2Er PBE relaxed; polymorph energy (0 for the lowest one) = 34.8 kJ per mole of atoms; magnetization = 0.00 μB/f.u.; E_form = 0.367 eV/atom; N(E_F) = 11.215 states/eV/f.u.
1.0
3.495 0.000 0.000
0.000 5.889 0.000
-1.748 -2.944 9.775
Pm Ho Er
3 2 1
direct
0.000 0.500 0.000
0.809 0.809 0.619
0.191 0.191 0.381
0.636 0.636 0.273
0.364 0.364 0.727
0.000 0.000 0.000



5.
Na2MgGaTc PBE relaxed; magnetization = 3.88 μB/f.u.; E_form = 1.110 eV/atom; N(E_F) = 3.344 states/eV/f.u.
1.0
-3.649 -0.219 -3.888
0.295 -5.088 0.010
-3.882 -0.217 3.655
Na Mg Tc Ga
2 1 1 1
direct
0.000 0.000 0.500
0.500 0.000 0.000
0.000 0.500 0.000
0.500 0.500 0.500
0.000 0.000 0.000



6.
Ca2BRuC PBE relaxed; magnetization = 2.05 μB/f.u.; E_form = 1.211 eV/atom; N(E_F) = 3.300 states/eV/f.u.
1.0
-2.203 -4.845 -0.484
2.267 -0.720 -3.114
3.761 -2.031 3.208
Ru Ca B C
1 2 1 1
direct
0.000 0.000 0.000
0.000 0.000 0.500
0.500 0.000 0.000
0.000 0.500 0.000
0.500 0.500 0.500



7.
K2HoTh2Te6 PBE relaxed; magnetization = 0.00 μB/f.u.; ΔE_f (raw) = -29.09 kcal/mol of atoms; N(E_F) = 5.237 states/eV/f.u.
1.0
7.706 -0.021 0.067
-3.827 6.688 0.067
-1.384 -2.379 8.475
K Ho Th Te
2 1 2 6
direct
0.832 0.168 0.000
0.168 0.832 0.000
0.000 0.000 0.500
0.333 0.667 0.500
0.667 0.333 0.500
0.742 0.742 0.712
0.074 0.400 0.713
0.258 0.258 0.288
0.400 0.074 0.713
0.926 0.600 0.287
0.600 0.926 0.287



8.
LiY2TlSe PBE relaxed; magnetization = 0.00 μB/f.u.; ΔE_f (raw) = -20.23 kcal/mol of atoms; N(E_F) = 2.489 states/eV/f.u.
1.0
3.975 0.000 0.000
0.000 7.755 0.211
0.000 -3.043 7.966
Li Y Tl Se
2 4 2 2
direct
0.250 0.544 0.641
0.750 0.456 0.359
0.750 0.884 0.609
0.750 0.731 0.017
0.250 0.116 0.391
0.250 0.269 0.983
0.250 0.681 0.295
0.750 0.319 0.705
0.250 0.857 0.834
0.750 0.143 0.166